A plane-wave DFT calculation with PBE+U was carried out for a geometry-optimized CrTcBiO2 structure.

Geometry as extended XYZ:
```
5
Lattice="3.858 0.000 0.000 0.000 5.756 0.000 0.000 0.000 3.858" Properties=species:S:1:pos:R:3 pbc="T T T"
Bi 1.929 2.878 1.929
Cr 0.000 2.878 0.000
O 1.929 0.000 0.000
O 0.000 0.000 1.929
Tc 0.000 0.000 0.000
```

Values from the calculation:
- V: 86 Å³ per cell
- DFT total energy: -6.6616 eV/atom